The following is a DFT calculation (PBE) of a geometry-optimized Co3CuPb structure.

Unit cell a=4.397 b=4.397 c=4.397 alpha=90.00 beta=90.00 gamma=90.00
Fractional positions:
Pb 0.500 0.500 0.500
Co 0.000 0.500 0.000
Co 0.000 0.000 0.500
Co 0.500 0.000 0.000
Cu 0.000 0.000 0.000

Properties
The symmetry is Pm-3m. The polymorph energy (0 for the lowest one) comes out at 0 meV per atom. For the formation energy, the calculation gives 1.05 eV/atom.